## Cs2TeIr2 (PBEsol)

Data for a relaxed Cs2TeIr2 crystal.

Lattice parameters (Å, degrees): 3.548 3.548 12.125 98.41 98.41 90.00
Element x y z (fractional)
Te 0.000 0.000 0.000
Ir 0.250 0.750 0.500
Cs 0.619 0.619 0.238
Ir 0.750 0.250 0.500
Cs 0.381 0.381 0.762

Computed properties:
E = -4.783 eV per atom
symmetry = I4/mmm (139)